ScTiPd5: relaxed, PBE-GGA.

Computed properties:
**Theoretical density**: 8.79 g/cm³

Cell: 4.0374 4.0374 7.2409 Å, 90.00 90.00 90.00°
Last column: nearest neighbours and their distance in Å.
Fractional coordinates of all 7 atoms:
1 Sc 0.0000 0.0000 0.5000  12 Pd 2.85-2.87
2 Ti 0.5000 0.5000 0.0000  8 Pd 2.56
3 Pd 0.0000 0.5000 0.7815  2 Ti 2.56, 6 Pd 2.85-2.87, 2 Sc 2.87
4 Pd 0.0000 0.5000 0.2185  2 Ti 2.56, 6 Pd 2.85-2.87, 2 Sc 2.87
5 Pd 0.5000 0.0000 0.7815  2 Ti 2.56, 6 Pd 2.85-2.87, 2 Sc 2.87
6 Pd 0.5000 0.0000 0.2185  2 Ti 2.56, 6 Pd 2.85-2.87, 2 Sc 2.87
7 Pd 0.5000 0.5000 0.5000  4 Sc 2.85, 8 Pd 2.87

=====

NbCrOs2: relaxed, PBE-GGA.

Computed properties:
**Theoretical density**: 10.09 g/cm³

Cell: 5.6579 5.6579 6.7241 Å, 65.12 65.12 90.00°
Last column: nearest neighbours and their distance in Å.
Fractional coordinates of all 8 atoms:
1 Cr 0.5000 0.5000 0.0000  4 Os 2.30
2 Cr 0.2500 0.7500 0.5000  4 Os 2.30
3 Nb 0.0000 0.0000 0.0000  4 Os 2.54
4 Nb 0.7500 0.2500 0.5000  4 Os 2.54
5 Os 0.5887 0.1250 0.2500  2 Cr 2.30, 2 Nb 2.54
6 Os 0.1613 0.6250 0.2500  2 Cr 2.30, 2 Nb 2.54
7 Os 0.3750 0.4113 0.7500  2 Cr 2.30, 2 Nb 2.54
8 Os 0.8750 0.8387 0.7500  2 Cr 2.30, 2 Nb 2.54

=====

Na3Ag7: relaxed, PBE-GGA.

Computed properties:
**Theoretical density**: 6.99 g/cm³

Cell: 4.2668 6.0768 7.9570 Å, 99.80 105.55 90.00°
Last column: nearest neighbours and their distance in Å.
Fractional coordinates of all 10 atoms:
1 Na 0.0000 0.0000 0.0000  12 Ag 2.99-3.04
2 Na 0.8012 0.3995 0.6025  10 Ag 2.97-3.11, 2 Na 3.03
3 Na 0.1988 0.6005 0.3975  10 Ag 2.97-3.11, 2 Na 3.03
4 Ag 0.0000 0.5000 0.0000  8 Ag 2.98-3.05, 4 Na 3.00-3.04
5 Ag 0.8016 0.9110 0.6032  5 Na 2.97-3.11, 7 Ag 2.97-3.05
6 Ag 0.1984 0.0890 0.3968  5 Na 2.97-3.11, 7 Ag 2.97-3.05
7 Ag 0.5952 0.2942 0.1903  7 Ag 2.97-3.05, 5 Na 2.99-3.11
8 Ag 0.4048 0.7058 0.8097  7 Ag 2.97-3.05, 5 Na 2.99-3.11
9 Ag 0.6019 0.7982 0.2039  4 Na 2.97-3.03, 8 Ag 2.97-3.05
10 Ag 0.3981 0.2018 0.7961  4 Na 2.97-3.03, 8 Ag 2.97-3.05

=====

Sr4InAg: relaxed, PBE-GGA.

Computed properties:
**Theoretical density**: 3.70 g/cm³
**E above lowest polymorph**: 649 meV/atom

Cell: 7.1383 7.1383 7.1383 Å, 60.00 60.00 60.00°
Last column: nearest neighbours and their distance in Å.
Fractional coordinates of all 6 atoms:
1 Sr 0.8760 0.3747 0.3747  6 Sr 3.56-3.58
2 Sr 0.3747 0.3747 0.8760  6 Sr 3.56-3.58
3 Sr 0.3747 0.8760 0.3747  6 Sr 3.56-3.58
4 Sr 0.3747 0.3747 0.3747  6 Sr 3.56-3.58
5 In 0.0000 0.0000 0.0000  12 Sr 4.18, 4 Ag 4.37
6 Ag 0.7500 0.7500 0.7500  12 Sr 4.19, 4 In 4.37

=====

K2TaRh: relaxed, PBE-GGA.

Computed properties:
**Theoretical density**: 5.35 g/cm³
**E above lowest polymorph**: 1532 meV/atom

Cell: 5.4176 5.4176 5.4176 Å, 60.00 60.00 60.00°
Last column: nearest neighbours and their distance in Å.
Fractional coordinates of all 4 atoms:
1 K 0.2500 0.2500 0.2500  4 Ta 3.32, 4 Rh 3.32
2 K 0.7500 0.7500 0.7500  4 Ta 3.32, 4 Rh 3.32
3 Rh 0.0000 0.0000 0.0000  8 K 3.32
4 Ta 0.5000 0.5000 0.5000  8 K 3.32

=====

Tm5CuRu4: relaxed, PBE-GGA.

Computed properties:
**Theoretical density**: 11.35 g/cm³

Cell: 3.3708 3.3708 16.8977 Å, 90.00 90.00 90.00°
Last column: nearest neighbours and their distance in Å.
Fractional coordinates of all 10 atoms:
1 Tm 0.5000 0.5000 0.1070  4 Ru 2.84, 4 Cu 2.99
2 Tm 0.5000 0.5000 0.3035  8 Ru 2.89-2.97
3 Tm 0.5000 0.5000 0.5000  8 Ru 2.92
4 Tm 0.5000 0.5000 0.6965  8 Ru 2.89-2.97
5 Tm 0.5000 0.5000 0.8930  4 Ru 2.84, 4 Cu 2.99
6 Cu 0.0000 0.0000 0.0000  8 Tm 2.99
7 Ru 0.0000 0.0000 0.1987  8 Tm 2.84-2.97
8 Ru 0.0000 0.0000 0.4007  8 Tm 2.89-2.92
9 Ru 0.0000 0.0000 0.5993  8 Tm 2.89-2.92
10 Ru 0.0000 0.0000 0.8013  8 Tm 2.84-2.97

=====

K2CdIn2: relaxed, PBE-GGA.

Computed properties:
**Theoretical density**: 3.48 g/cm³
**E above lowest polymorph**: 126 meV/atom

Cell: 4.3309 4.3309 11.1113 Å, 78.76 78.76 90.00°
Last column: nearest neighbours and their distance in Å.
Fractional coordinates of all 5 atoms:
1 K 0.3958 0.3958 0.2084  4 Cd 3.79, 4 In 3.79
2 K 0.6042 0.6042 0.7916  4 Cd 3.79, 4 In 3.79
3 Cd 0.0000 0.0000 0.0000  8 K 3.79
4 In 0.7500 0.2500 0.5000  4 In 3.06
5 In 0.2500 0.7500 0.5000  4 In 3.06

=====

LiReP2: relaxed, PBE-GGA.

Computed properties:
**Theoretical density**: 7.35 g/cm³
**E above lowest polymorph**: 467 meV/atom

Cell: 7.8469 7.8469 7.8469 Å, 21.66 21.66 21.66°
Last column: nearest neighbours and their distance in Å.
Fractional coordinates of all 4 atoms:
1 Li 0.7445 0.7445 0.7445  3 P 2.60, 3 Re 2.88
2 P 0.9924 0.9924 0.9924  3 P 2.42, 3 Li 2.60
3 P 0.2510 0.2510 0.2510  3 Re 2.37, 3 P 2.42
4 Re 0.5122 0.5122 0.5122  3 P 2.37

=====

Sm12Er5Cd2: relaxed, PBE-GGA.

Computed properties:
**Theoretical density**: 7.85 g/cm³

Cell: 9.2169 9.0393 8.4667 Å, 92.07 90.00 120.65°
Last column: nearest neighbours and their distance in Å.
Fractional coordinates of all 19 atoms:
1 Sm 0.9182 0.8365 0.1164  5 Sm 3.28-3.56, 3 Er 3.44-3.57, 2 Cd 3.45
2 Sm 0.0357 0.7017 0.7639  1 Cd 3.28, 4 Sm 3.34-3.56, 2 Er 3.54-3.55
3 Sm 0.6660 0.7017 0.7639  1 Cd 3.28, 4 Sm 3.34-3.56, 2 Er 3.54-3.55
4 Sm 0.1797 0.7487 0.3300  5 Sm 3.37-3.59, 4 Er 3.38-3.68, 1 Cd 3.48
5 Sm 0.5691 0.7487 0.3300  5 Sm 3.37-3.59, 4 Er 3.38-3.68, 1 Cd 3.48
6 Sm 0.4424 0.8847 0.6706  2 Cd 3.29, 2 Er 3.32-3.48, 7 Sm 3.34-3.52
7 Sm 0.5576 0.1153 0.3294  2 Cd 3.29, 2 Er 3.32-3.48, 7 Sm 3.34-3.52
8 Sm 0.8203 0.2513 0.6700  5 Sm 3.37-3.59, 4 Er 3.38-3.68, 1 Cd 3.48
9 Sm 0.4309 0.2513 0.6700  5 Sm 3.37-3.59, 4 Er 3.38-3.68, 1 Cd 3.48
10 Sm 0.9643 0.2983 0.2361  1 Cd 3.28, 4 Sm 3.34-3.56, 2 Er 3.54-3.55
11 Sm 0.3340 0.2983 0.2361  1 Cd 3.28, 4 Sm 3.34-3.56, 2 Er 3.54-3.55
12 Sm 0.0818 0.1635 0.8836  5 Sm 3.28-3.56, 3 Er 3.44-3.57, 2 Cd 3.45
13 Er 0.2325 0.4651 0.5777  8 Sm 3.32-3.59, 2 Er 3.56-3.65
14 Er 0.3033 0.6066 0.9827  2 Cd 3.44, 8 Sm 3.48-3.70, 1 Er 3.56
15 Er 0.0000 0.0000 0.5000  10 Sm 3.44-3.70, 2 Er 3.65
16 Er 0.6967 0.3934 0.0173  2 Cd 3.44, 8 Sm 3.48-3.70, 1 Er 3.56
17 Er 0.7675 0.5349 0.4223  8 Sm 3.32-3.59, 2 Er 3.56-3.65
18 Cd 0.6705 0.0000 0.0000  1 Cd 3.14, 8 Sm 3.28-3.48, 2 Er 3.44
19 Cd 0.3295 0.0000 0.0000  1 Cd 3.14, 8 Sm 3.28-3.48, 2 Er 3.44

=====

Nd2Y8Tl: relaxed, PBE-GGA.

Computed properties:
**Theoretical density**: 5.60 g/cm³
**E above lowest polymorph**: 0 meV/atom

Cell: 5.6040 6.5251 10.1860 Å, 94.81 105.97 90.00°
Last column: nearest neighbours and their distance in Å.
Fractional coordinates of all 11 atoms:
1 Nd 0.7563 0.6650 0.5127  9 Y 3.47-3.85, 2 Nd 3.53
2 Nd 0.2437 0.3350 0.4873  9 Y 3.47-3.85, 2 Nd 3.53
3 Y 0.4223 0.3993 0.8446  1 Tl 3.13, 3 Y 3.21-3.39, 1 Nd 3.49
4 Y 0.6603 0.1243 0.3206  1 Tl 3.17, 2 Nd 3.47, 2 Y 3.47
5 Y 0.8470 0.1913 0.6940  5 Y 3.39-3.64, 4 Nd 3.63-3.73
6 Y 0.9562 0.7323 0.9124  2 Tl 3.37, 4 Y 3.57-3.76
7 Y 0.1530 0.8087 0.3060  5 Y 3.39-3.64, 4 Nd 3.63-3.73
8 Y 0.3397 0.8757 0.6794  1 Tl 3.17, 2 Nd 3.47, 2 Y 3.47
9 Y 0.5777 0.6007 0.1554  1 Tl 3.13, 3 Y 3.21-3.39, 1 Nd 3.49
10 Y 0.0438 0.2677 0.0876  2 Tl 3.37, 4 Y 3.57-3.76
11 Tl 0.5000 0.0000 0.0000  8 Y 3.13-3.37

=====

Cr2FeRe: relaxed, PBE-GGA.

Computed properties:
**Theoretical density**: 11.47 g/cm³
**E above lowest polymorph**: 1 meV/atom

Cell: 4.0875 4.0875 2.9975 Å, 90.00 90.00 90.00°
Last column: nearest neighbours and their distance in Å.
Fractional coordinates of all 4 atoms:
1 Re 0.0000 0.5000 0.5000  8 Cr 2.53
2 Fe 0.5000 0.0000 0.5000  8 Cr 2.53
3 Cr 0.0000 0.0000 0.0000  4 Fe 2.53, 4 Re 2.53
4 Cr 0.5000 0.5000 0.0000  4 Fe 2.53, 4 Re 2.53

=====

CsRb: relaxed, PBE-GGA.

Computed properties:
**Theoretical density**: 0.87 g/cm³
**E above lowest polymorph**: 275 meV/atom

Cell: 13.5695 13.5695 13.5695 Å, 90.00 90.00 90.00°
Last column: nearest neighbours and their distance in Å.
Fractional coordinates of all 12 atoms:
1 Cs 0.2500 0.0000 0.5000  4 Rb 4.80
2 Cs 0.7500 0.0000 0.5000  4 Rb 4.80
3 Cs 0.0000 0.5000 0.2500  4 Rb 4.80
4 Cs 0.0000 0.5000 0.7500  4 Rb 4.80
5 Cs 0.5000 0.2500 0.0000  4 Rb 4.80
6 Cs 0.5000 0.7500 0.0000  4 Rb 4.80
7 Rb 0.2500 0.5000 0.0000  4 Cs 4.80
8 Rb 0.7500 0.5000 0.0000  4 Cs 4.80
9 Rb 0.5000 0.0000 0.2500  4 Cs 4.80
10 Rb 0.5000 0.0000 0.7500  4 Cs 4.80
11 Rb 0.0000 0.2500 0.5000  4 Cs 4.80
12 Rb 0.0000 0.7500 0.5000  4 Cs 4.80

=====

Number 1: VASP energy -6.341 eV per atom. Number 2: VASP energy -9.147 eV per atom. Number 3: VASP energy -2.373 eV per atom. Number 4: VASP energy -1.643 eV per atom. Number 5: VASP energy -3.426 eV per atom. Number 6: VASP energy -6.788 eV per atom. Number 7: VASP energy -1.697 eV per atom. Number 8: VASP energy -6.149 eV per atom. Number 9: VASP energy -4.230 eV per atom. Number 10: VASP energy -5.820 eV per atom. Number 11: VASP energy -9.961 eV per atom. Number 12: VASP energy -0.636 eV per atom.